Record 1
A relaxed NbNi3Pb crystal, computed with PBE.

Structure (CIF):
```
data_NbNi3Pb
_symmetry_space_group_name_H-M 'P m -3 m'
_symmetry_Int_Tables_number 221
_symmetry_space_group_name_Hall '-P 4 2 3'
_cell_length_a 4.648
_cell_length_b 4.648
_cell_length_c 4.648
_cell_angle_alpha 90.00
_cell_angle_beta 90.00
_cell_angle_gamma 90.00
loop_
_atom_site_label
_atom_site_fract_x
_atom_site_fract_y
_atom_site_fract_z
Nb1 0.000 0.000 0.000
Ni1 0.000 0.000 0.500
Pb1 0.500 0.500 0.500
```

Calculated values
Calculated formation energy in kJ per mole of atoms: 96.3
Excess energy over the best structure of this formula in the dataset in meV/atom: 0

=====

Record 2
A relaxed Pm2Ni3As4Pt crystal, computed with PBE.

Structure (CIF):
```
data_Pm2Ni3As4Pt
_symmetry_space_group_name_H-M 'P -4 m 2'
_symmetry_Int_Tables_number 115
_symmetry_space_group_name_Hall 'P -4 -2'
_cell_length_a 4.271
_cell_length_b 4.271
_cell_length_c 9.553
_cell_angle_alpha 90.00
_cell_angle_beta 90.00
_cell_angle_gamma 90.00
loop_
_atom_site_label
_atom_site_fract_x
_atom_site_fract_y
_atom_site_fract_z
Pm1 0.000 0.500 0.246
Ni1 0.000 0.500 0.886
Ni2 0.500 0.500 0.500
As1 0.000 0.000 0.000
As2 0.000 0.500 0.639
As3 0.500 0.500 0.000
Pt1 0.000 0.000 0.500
```

Calculated values
Calculated formation energy in kJ per mole of atoms: -80.7

=====

Record 3
A relaxed HoUFe4 crystal, computed with PBE.

Structure (CIF):
```
data_HoUFe4
_symmetry_space_group_name_H-M 'C 1 2/m 1'
_symmetry_Int_Tables_number 12
_symmetry_space_group_name_Hall '-C 2y'
_cell_length_a 9.013
_cell_length_b 6.816
_cell_length_c 6.395
_cell_angle_alpha 90.00
_cell_angle_beta 105.99
_cell_angle_gamma 90.00
loop_
_atom_site_label
_atom_site_fract_x
_atom_site_fract_y
_atom_site_fract_z
Ho1 0.148 0.000 0.248
U1 0.087 0.500 0.311
Fe1 0.000 0.240 0.500
Fe2 0.117 0.301 0.924
Fe3 0.191 0.000 0.765
```

Calculated values
Calculated formation energy in kJ per mole of atoms: -0.9
Excess energy over the best structure of this formula in the dataset in meV/atom: 14

=====

Record 4
A relaxed In2RuSe crystal, computed with PBE.

Structure (CIF):
```
data_In2RuSe
_symmetry_space_group_name_H-M 'I -4 m 2'
_symmetry_Int_Tables_number 119
_symmetry_space_group_name_Hall 'I -4 -2'
_cell_length_a 4.259
_cell_length_b 4.259
_cell_length_c 8.664
_cell_angle_alpha 90.00
_cell_angle_beta 90.00
_cell_angle_gamma 90.00
loop_
_atom_site_label
_atom_site_fract_x
_atom_site_fract_y
_atom_site_fract_z
In1 0.000 0.000 0.000
In2 0.000 0.500 0.250
Ru1 0.000 0.500 0.750
Se1 0.000 0.000 0.500
```

Calculated values
Raw formation energy in eV per atom: 0.293

=====

Record 5
A relaxed Ba6ZnHg2 crystal, computed with PBE.

Structure (CIF):
```
data_Ba6ZnHg2
_symmetry_space_group_name_H-M 'C 1 2/m 1'
_symmetry_Int_Tables_number 12
_symmetry_space_group_name_Hall '-C 2y'
_cell_length_a 15.188
_cell_length_b 5.993
_cell_length_c 11.754
_cell_angle_alpha 90.00
_cell_angle_beta 130.21
_cell_angle_gamma 90.00
loop_
_atom_site_label
_atom_site_fract_x
_atom_site_fract_y
_atom_site_fract_z
Ba1 0.035 0.000 0.331
Ba2 0.129 0.500 0.000
Ba3 0.204 0.500 0.669
Zn1 0.000 0.000 0.000
Hg1 0.166 0.500 0.333
```

Calculated values
Calculated formation energy in kJ per mole of atoms: -28.4

=====

Record 6
A relaxed Ba7Zr crystal, computed with PBE.

Structure (CIF):
```
data_Ba7Zr
_symmetry_space_group_name_H-M 'F m -3 m'
_symmetry_Int_Tables_number 225
_symmetry_space_group_name_Hall '-F 4 2 3'
_cell_length_a 12.041
_cell_length_b 12.041
_cell_length_c 12.041
_cell_angle_alpha 90.00
_cell_angle_beta 90.00
_cell_angle_gamma 90.00
loop_
_atom_site_label
_atom_site_fract_x
_atom_site_fract_y
_atom_site_fract_z
Ba1 0.000 0.000 0.000
Ba2 0.000 0.250 0.250
Zr1 0.000 0.000 0.500
```

Calculated values
Calculated formation energy in kJ per mole of atoms: 32.6

=====

Record 7
A relaxed HoNpSe4 crystal, computed with PBE.

Structure (CIF):
```
data_HoNpSe4
_symmetry_space_group_name_H-M 'C m m m'
_symmetry_Int_Tables_number 65
_symmetry_space_group_name_Hall '-C 2 2'
_cell_length_a 9.236
_cell_length_b 9.369
_cell_length_c 4.229
_cell_angle_alpha 90.00
_cell_angle_beta 90.00
_cell_angle_gamma 90.00
loop_
_atom_site_label
_atom_site_fract_x
_atom_site_fract_y
_atom_site_fract_z
Ho1 0.000 0.000 0.000
Np1 0.000 0.500 0.500
Se1 0.000 0.308 0.000
Se2 0.204 0.000 0.500
```

Calculated values
Raw formation energy in eV per atom: -1.177

=====

Record 8
A relaxed Sc2As crystal, computed with PBE.

Structure (CIF):
```
data_Sc2As
_symmetry_space_group_name_H-M 'P -3 m 1'
_symmetry_Int_Tables_number 164
_symmetry_space_group_name_Hall '-P 3 2"'
_cell_length_a 3.7395
_cell_length_b 3.7395
_cell_length_c 5.9032
_cell_angle_alpha 90.00
_cell_angle_beta 90.00
_cell_angle_gamma 120.00
loop_
_atom_site_label
_atom_site_fract_x
_atom_site_fract_y
_atom_site_fract_z
Sc1 0.3333 0.6667 0.2648
As1 0.0000 0.0000 0.0000
```

Calculated values
Calculated formation energy in kJ per mole of atoms: -72.4

=====

Record 9
A relaxed CrFeHIr2 crystal, computed with PBE.

Structure (CIF):
```
data_CrFeHIr2
_symmetry_space_group_name_H-M 'P 4/m m m'
_symmetry_Int_Tables_number 123
_symmetry_space_group_name_Hall '-P 4 2'
_cell_length_a 3.881
_cell_length_b 3.881
_cell_length_c 3.755
_cell_angle_alpha 90.00
_cell_angle_beta 90.00
_cell_angle_gamma 90.00
loop_
_atom_site_label
_atom_site_fract_x
_atom_site_fract_y
_atom_site_fract_z
Cr1 0.000 0.000 0.000
Fe1 0.500 0.500 0.000
H1 0.500 0.500 0.500
Ir1 0.000 0.500 0.500
```

Calculated values
Excess energy over the best structure of this formula in the dataset in meV/atom: 5

=====

Record 10
A relaxed Li3ZnPt4 crystal, computed with PBE.

Structure (CIF):
```
data_Li3ZnPt4
_symmetry_space_group_name_H-M 'I 4/m m m'
_symmetry_Int_Tables_number 139
_symmetry_space_group_name_Hall '-I 4 2'
_cell_length_a 3.882
_cell_length_b 3.882
_cell_length_c 14.973
_cell_angle_alpha 90.00
_cell_angle_beta 90.00
_cell_angle_gamma 90.00
loop_
_atom_site_label
_atom_site_fract_x
_atom_site_fract_y
_atom_site_fract_z
Li1 0.000 0.000 0.000
Li2 0.000 0.000 0.249
Zn1 0.000 0.000 0.500
Pt1 0.000 0.500 0.123
```

Calculated values
Calculated formation energy in kJ per mole of atoms: -52.9

=====

Record 11
A relaxed SnH2Rh crystal, computed with PBE.

Structure (CIF):
```
data_SnH2Rh
_symmetry_space_group_name_H-M 'R -3 m'
_symmetry_Int_Tables_number 166
_symmetry_space_group_name_Hall '-R 3 2"'
_cell_length_a 3.1892
_cell_length_b 3.1892
_cell_length_c 15.4334
_cell_angle_alpha 90.00
_cell_angle_beta 90.00
_cell_angle_gamma 120.00
loop_
_atom_site_label
_atom_site_fract_x
_atom_site_fract_y
_atom_site_fract_z
Sn1 0.0000 0.0000 0.0000
H1 0.0000 0.0000 0.1862
Rh1 0.0000 0.0000 0.5000
```

Calculated values
Excess energy over the best structure of this formula in the dataset in meV/atom: 218

=====

Record 12
A relaxed ZrZn2HgH crystal, computed with PBE.

Structure (CIF):
```
data_ZrZn2HgH
_symmetry_space_group_name_H-M 'P 4/m m m'
_symmetry_Int_Tables_number 123
_symmetry_space_group_name_Hall '-P 4 2'
_cell_length_a 4.297
_cell_length_b 4.297
_cell_length_c 4.103
_cell_angle_alpha 90.00
_cell_angle_beta 90.00
_cell_angle_gamma 90.00
loop_
_atom_site_label
_atom_site_fract_x
_atom_site_fract_y
_atom_site_fract_z
Zr1 0.000 0.000 0.000
Zn1 0.000 0.500 0.500
Hg1 0.500 0.500 0.000
H1 0.000 0.000 0.500
```

=====

Record 13
A relaxed Na3SrBi2 crystal, computed with PBE.

Structure (CIF):
```
data_Na3SrBi2
_symmetry_space_group_name_H-M 'C 1 2/m 1'
_symmetry_Int_Tables_number 12
_symmetry_space_group_name_Hall '-C 2y'
_cell_length_a 18.871
_cell_length_b 5.056
_cell_length_c 9.802
_cell_angle_alpha 90.00
_cell_angle_beta 118.97
_cell_angle_gamma 90.00
loop_
_atom_site_label
_atom_site_fract_x
_atom_site_fract_y
_atom_site_fract_z
Na1 0.040 0.000 0.192
Na2 0.168 0.500 0.981
Na3 0.185 0.500 0.390
Sr1 0.126 0.000 0.646
Bi1 0.004 0.500 0.347
Bi2 0.217 0.000 0.213
```

Calculated values
Calculated formation energy in kJ per mole of atoms: -46.5
Excess energy over the best structure of this formula in the dataset in meV/atom: 12

=====

Record 14
A relaxed Ca2AlF8 crystal, computed with PBE.

Structure (CIF):
```
data_Ca2AlF8
_symmetry_space_group_name_H-M 'C 1 2/m 1'
_symmetry_Int_Tables_number 12
_symmetry_space_group_name_Hall '-C 2y'
_cell_length_a 9.521
_cell_length_b 7.117
_cell_length_c 4.618
_cell_angle_alpha 90.00
_cell_angle_beta 111.87
_cell_angle_gamma 90.00
loop_
_atom_site_label
_atom_site_fract_x
_atom_site_fract_y
_atom_site_fract_z
Ca1 0.170 0.000 0.364
Al1 0.000 0.500 0.000
F1 0.092 0.000 0.793
F2 0.124 0.321 0.257
F3 0.124 0.500 0.785
```

Calculated values
Raw formation energy in eV per atom: -3.402
Excess energy over the best structure of this formula in the dataset in meV/atom: 0

=====

Record 15
A relaxed Ce3Tc crystal, computed with PBE.

Structure (CIF):
```
data_Ce3Tc
_symmetry_space_group_name_H-M 'P m m 2'
_symmetry_Int_Tables_number 25
_symmetry_space_group_name_Hall 'P 2 -2'
_cell_length_a 3.243
_cell_length_b 3.522
_cell_length_c 8.891
_cell_angle_alpha 90.00
_cell_angle_beta 90.00
_cell_angle_gamma 90.00
loop_
_atom_site_label
_atom_site_fract_x
_atom_site_fract_y
_atom_site_fract_z
Ce1 0.000 0.000 0.000
Ce2 0.000 0.500 0.262
Ce3 0.500 0.500 0.666
Tc1 0.500 0.000 0.474
```

Calculated values
Calculated formation energy in kJ per mole of atoms: 17.8

=====

Record 16
A relaxed AsP2Rh crystal, computed with PBE.

Structure (CIF):
```
data_AsP2Rh
_symmetry_space_group_name_H-M 'I -4 2 d'
_symmetry_Int_Tables_number 122
_symmetry_space_group_name_Hall 'I -4 2bw'
_cell_length_a 5.529
_cell_length_b 5.529
_cell_length_c 10.382
_cell_angle_alpha 90.00
_cell_angle_beta 90.00
_cell_angle_gamma 90.00
loop_
_atom_site_label
_atom_site_fract_x
_atom_site_fract_y
_atom_site_fract_z
As1 0.000 0.000 0.000
P1 0.225 0.250 0.625
Rh1 0.000 0.000 0.500
```

Calculated values
Calculated formation energy in kJ per mole of atoms: -11.7

=====

Record 17
A relaxed CrAuSe crystal, computed with PBE.

Structure (CIF):
```
data_CrAuSe
_symmetry_space_group_name_H-M 'F -4 3 m'
_symmetry_Int_Tables_number 216
_symmetry_space_group_name_Hall 'F -4 2 3'
_cell_length_a 6.219
_cell_length_b 6.219
_cell_length_c 6.219
_cell_angle_alpha 90.00
_cell_angle_beta 90.00
_cell_angle_gamma 90.00
loop_
_atom_site_label
_atom_site_fract_x
_atom_site_fract_y
_atom_site_fract_z
Cr1 0.000 0.000 0.000
Au1 0.250 0.250 0.750
Se1 0.250 0.250 0.250
```

Calculated values
Raw formation energy in eV per atom: 0.085
Excess energy over the best structure of this formula in the dataset in meV/atom: 196

=====

Record 18
A relaxed Ba4As2Cl3 crystal, computed with PBE.

Structure (CIF):
```
data_Ba4As2Cl3
_symmetry_space_group_name_H-M 'C 1 2/m 1'
_symmetry_Int_Tables_number 12
_symmetry_space_group_name_Hall '-C 2y'
_cell_length_a 16.209
_cell_length_b 4.763
_cell_length_c 9.963
_cell_angle_alpha 90.00
_cell_angle_beta 91.80
_cell_angle_gamma 90.00
loop_
_atom_site_label
_atom_site_fract_x
_atom_site_fract_y
_atom_site_fract_z
Ba1 0.134 0.000 0.094
Ba2 0.166 0.500 0.640
As1 0.234 0.000 0.825
Cl1 0.000 0.500 0.000
Cl2 0.136 0.000 0.430
```

Calculated values
Raw formation energy in eV per atom: -1.598

=====

Record 19
A relaxed MnSb2Se crystal, computed with PBE.

Structure (CIF):
```
data_MnSb2Se
_symmetry_space_group_name_H-M 'P 4 m m'
_symmetry_Int_Tables_number 99
_symmetry_space_group_name_Hall 'P 4 -2'
_cell_length_a 3.214
_cell_length_b 3.214
_cell_length_c 8.852
_cell_angle_alpha 90.00
_cell_angle_beta 90.00
_cell_angle_gamma 90.00
loop_
_atom_site_label
_atom_site_fract_x
_atom_site_fract_y
_atom_site_fract_z
Mn1 0.000 0.000 0.000
Sb1 0.000 0.000 0.534
Sb2 0.500 0.500 0.232
Se1 0.500 0.500 0.866
```

Calculated values
Raw formation energy in eV per atom: 0.086

=====

Record 20
A relaxed Tm8Ga3PSe4 crystal, computed with PBE.

Structure (CIF):
```
data_Tm8Ga3PSe4
_symmetry_space_group_name_H-M 'R -3 m'
_symmetry_Int_Tables_number 166
_symmetry_space_group_name_Hall '-R 3 2"'
_cell_length_a 7.9634
_cell_length_b 7.9634
_cell_length_c 20.6190
_cell_angle_alpha 90.00
_cell_angle_beta 90.00
_cell_angle_gamma 120.00
loop_
_atom_site_label
_atom_site_fract_x
_atom_site_fract_y
_atom_site_fract_z
Tm1 0.0000 0.0000 0.2502
Tm2 0.0054 0.5027 0.2464
Ga1 0.0000 0.5000 0.5000
P1 0.0000 0.0000 0.5000
Se1 0.0000 0.0000 0.0000
Se2 0.0000 0.5000 0.0000
```

Calculated values
Raw formation energy in eV per atom: -1.252

=====

no.,raw total energy (eV per atom)
1,-5.226
2,-5.985
3,-8.295
4,-4.267
5,-1.785
6,-2.413
7,-6.419
8,-6.522
9,-7.878
10,-4.445
11,-4.474
12,-3.075
13,-2.716
14,-5.467
15,-6.857
16,-5.827
17,-5.377
18,-4.102
19,-5.138
20,-5.264